[1]
CuSbPtSe3: relaxed, GGA-PBE.

The calculation puts the volume at 22.61 Å³ per atom. The value obtained for the electronic total energy is -4.350 eV/atom. The crystal system is orthorhombic.

abc: 5.078 8.041 13.291
angles: 90.00 90.00 90.00
Atoms (fractional coordinates):
Cu1 0.037 0.111 0.445
Cu2 0.463 0.889 0.945
Cu3 0.537 0.389 0.555
Cu4 0.963 0.611 0.055
Sb1 0.106 0.126 0.142
Sb2 0.394 0.874 0.642
Sb3 0.606 0.374 0.858
Sb4 0.894 0.626 0.358
Pt1 0.015 0.642 0.747
Pt2 0.485 0.358 0.247
Pt3 0.515 0.858 0.253
Pt4 0.985 0.142 0.753
Se1 0.239 0.144 0.915
Se2 0.247 0.630 0.911
Se3 0.249 0.615 0.201
Se4 0.251 0.385 0.701
Se5 0.253 0.370 0.411
Se6 0.261 0.856 0.415
Se7 0.739 0.356 0.085
Se8 0.747 0.870 0.089
Se9 0.749 0.885 0.799
Se10 0.751 0.115 0.299
Se11 0.753 0.130 0.589
Se12 0.761 0.644 0.585

***

[2]
ZnAs2W: relaxed, GGA-PBE.

The calculation puts the volume at 23.57 Å³ per atom. The value obtained for the electronic total energy is -5.469 eV/atom. The crystal system is tetragonal.

abc: 6.964 6.964 6.964
angles: 130.93 130.93 71.93
Atoms (fractional coordinates):
Zn1 0.000 0.000 0.000
Zn2 0.750 0.250 0.500
As1 0.135 0.125 0.510
As2 0.375 0.865 0.990
As3 0.615 0.625 0.490
As4 0.875 0.385 0.010
W1 0.250 0.750 0.500
W2 0.500 0.500 0.000

***

[3]
SmMgSi: relaxed, GGA-PBE.

The calculation puts the volume at 24.77 Å³ per atom. The value obtained for the electronic total energy is -4.286 eV/atom. The crystal system is cubic.

abc: 4.719 4.719 4.719
angles: 60.00 60.00 60.00
Atoms (fractional coordinates):
Sm1 0.000 0.000 0.000
Mg1 0.500 0.500 0.500
Si1 0.750 0.750 0.750